Density functional theory data (PBE-GGA) for a relaxed LaAgW2 crystal.

Fermi-level density of states ... 4.50 states/eV/f.u.
Magnetic moment ... 0.0 μB per cell
Calculated total energy ... -7.38 eV/atom
V ... 21.58 Å³ per atom

a b c (Å): 4.042 4.042 21.132
angles (deg): 90.00 90.00 90.00
Space group I-42d (No. 122)
Asymmetric unit:
La1 0.000 0.000 0.000 x4
Ag1 0.000 0.000 0.500 x4
W1 0.218 0.250 0.625 x8

---

Density functional theory data (PBE-GGA) for a relaxed La2AgW crystal.

Fermi-level density of states ... 3.11 states/eV/f.u.
Magnetic moment ... 0.0 μB per cell
Calculated total energy ... -5.91 eV/atom
V ... 25.40 Å³ per atom

a b c (Å): 6.587 3.110 9.932
angles (deg): 90.00 93.06 90.00
Space group C2/m (No. 12)
Asymmetric unit:
La1 0.244 0.000 0.266 x4
Ag1 0.000 0.500 0.000 x2
W1 0.000 0.000 0.500 x2

---

Density functional theory data (PBE-GGA) for a relaxed LaAg2W crystal.

Fermi-level density of states ... 3.78 states/eV/f.u.
Magnetic moment ... 0.9 μB per cell
Calculated total energy ... -5.20 eV/atom
V ... 21.25 Å³ per atom

a b c (Å): 4.932 4.932 3.494
angles (deg): 90.00 90.00 90.00
Space group P4/mmm (No. 123)
Asymmetric unit:
La1 0.000 0.000 0.000 x1
Ag1 0.000 0.500 0.500 x2
W1 0.500 0.500 0.000 x1

---

Density functional theory data (PBE-GGA) for a relaxed LaAgW2 crystal.

Fermi-level density of states ... 3.54 states/eV/f.u.
Magnetic moment ... 0.0 μB per cell
Calculated total energy ... -7.48 eV/atom
V ... 20.66 Å³ per atom

a b c (Å): 4.093 4.093 9.867
angles (deg): 90.00 90.00 90.00
Space group I4/mmm (No. 139)
Asymmetric unit:
La1 0.000 0.000 0.000 x2
Ag1 0.000 0.000 0.500 x2
W1 0.000 0.500 0.250 x4

---

Density functional theory data (PBE-GGA) for a relaxed LaAg2W crystal.

Fermi-level density of states ... 4.51 states/eV/f.u.
Magnetic moment ... 0.1 μB per cell
Calculated total energy ... -5.35 eV/atom
V ... 20.79 Å³ per atom

a b c (Å): 2.877 4.761 6.233
angles (deg): 90.00 103.12 90.00
Space group Pm (No. 6)
Asymmetric unit:
La1 0.000 0.000 0.000 x1
Ag1 0.253 0.000 0.490 x1
Ag2 0.368 0.500 0.738 x1
W1 0.657 0.500 0.309 x1

---

Density functional theory data (PBE-GGA) for a relaxed La2AgW crystal.

Fermi-level density of states ... 4.33 states/eV/f.u.
Magnetic moment ... 0.0 μB per cell
Calculated total energy ... -6.02 eV/atom
V ... 25.13 Å³ per atom

a b c (Å): 3.215 5.426 5.763
angles (deg): 90.00 90.00 90.00
Space group Pmm2 (No. 25)
Asymmetric unit:
La1 0.000 0.000 0.000 x1
La2 0.000 0.500 0.436 x1
Ag1 0.500 0.000 0.530 x1
W1 0.500 0.500 0.902 x1

---

Density functional theory data (PBE-GGA) for a relaxed LaAg2W crystal.

Fermi-level density of states ... 1.73 states/eV/f.u.
Magnetic moment ... 10.8 μB per cell
Calculated total energy ... -5.22 eV/atom
V ... 22.33 Å³ per atom

a b c (Å): 7.096 7.096 7.096
angles (deg): 90.00 90.00 90.00
Space group Fm-3m (No. 225)
Asymmetric unit:
La1 0.000 0.000 0.000 x4
Ag1 0.250 0.250 0.250 x8
W1 0.000 0.000 0.500 x4

---

Density functional theory data (PBE-GGA) for a relaxed LaAgW2 crystal.

Fermi-level density of states ... 3.45 states/eV/f.u.
Magnetic moment ... 0.0 μB per cell
Calculated total energy ... -7.53 eV/atom
V ... 20.56 Å³ per atom

a b c (Å): 4.068 4.068 4.971
angles (deg): 90.00 90.00 90.00
Space group P4/mmm (No. 123)
Asymmetric unit:
La1 0.000 0.000 0.000 x1
Ag1 0.500 0.500 0.000 x1
W1 0.000 0.500 0.500 x2

---

no.,energy of formation from the pure elements (eV/atom)
1,1.04
2,0.51
3,0.70
4,0.94
5,0.55
6,0.39
7,0.67
8,0.89